[1]
SrLaMn2O6 PBEsol optimized geometry; E_form (uncorrected) = -2.515 eV per atom
1.0
-2.689 2.689 3.877
2.689 -2.689 3.877
2.689 2.689 -3.877
Sr La Mn O
1 1 2 6
Direct
0.000 0.000 0.000
0.500 0.500 0.000
0.250 0.750 0.500
0.750 0.250 0.500
0.000 0.500 0.500
0.042 0.042 0.571
0.471 0.471 0.429
0.500 0.000 0.500
0.529 0.958 0.000
0.958 0.529 0.000

[2]
Sr4LaMn5O13 PBEsol optimized geometry; E_form (uncorrected) = -2.342 eV per atom
1.0
8.625 0.000 0.000
0.000 3.778 0.000
-0.105 0.000 8.630
Sr La Mn O
4 1 5 13
Direct
0.110 0.000 0.291
0.309 0.000 0.899
0.691 0.000 0.101
0.890 0.000 0.709
0.500 0.000 0.500
0.000 0.500 0.000
0.199 0.500 0.605
0.397 0.500 0.198
0.603 0.500 0.802
0.801 0.500 0.395
0.087 0.500 0.798
0.170 0.000 0.587
0.198 0.500 0.090
0.292 0.500 0.405
0.401 0.000 0.209
0.410 0.500 0.690
0.500 0.500 0.000
0.590 0.500 0.310
0.599 0.000 0.791
0.708 0.500 0.595
0.802 0.500 0.910
0.830 0.000 0.413
0.913 0.500 0.202

[3]
SrLaMnO4 PBEsol optimized geometry; energy above the most stable polymorph in this dataset = 0.000 eV per atom; E_form (uncorrected) = -2.706 eV per atom
1.0
-1.923 1.923 6.177
1.923 -1.923 6.177
1.923 1.923 -6.177
Sr La Mn O
1 1 1 4
Direct
0.000 0.000 0.000
0.281 0.281 0.000
0.639 0.639 0.000
0.146 0.646 0.500
0.471 0.471 0.000
0.646 0.146 0.500
0.805 0.805 0.000

[4]
SrLaTaMnO6 PBEsol optimized geometry; E_form (uncorrected) = -2.834 eV per atom
1.0
5.636 0.000 0.000
0.000 5.760 0.000
-5.623 0.000 7.989
Sr La Ta Mn O
2 2 2 2 12
Direct
0.000 0.213 0.000
0.000 0.787 0.500
0.521 0.301 0.503
0.521 0.699 0.003
0.257 0.245 0.749
0.257 0.755 0.249
0.759 0.244 0.251
0.759 0.756 0.751
0.004 0.479 0.202
0.004 0.521 0.702
0.111 0.225 0.508
0.111 0.775 0.008
0.424 0.279 0.990
0.424 0.721 0.490
0.491 0.042 0.298
0.491 0.958 0.798
0.571 0.452 0.786
0.571 0.548 0.286
0.921 0.055 0.702
0.921 0.945 0.202

[5]
SrLaTiMnO6 PBEsol optimized geometry; energy above the most stable polymorph in this dataset = 0.000 eV per atom; E_form (uncorrected) = -2.905 eV per atom
1.0
5.450 0.000 0.000
0.000 5.419 0.000
-5.442 0.000 7.648
Sr La Ti Mn O
2 2 2 2 12
Direct
0.000 0.249 0.000
0.000 0.751 0.500
0.496 0.252 0.499
0.496 0.748 0.999
0.749 0.250 0.249
0.749 0.750 0.749
0.250 0.250 0.750
0.250 0.750 0.250
0.025 0.498 0.771
0.025 0.502 0.271
0.029 0.002 0.272
0.029 0.998 0.772
0.476 0.496 0.728
0.476 0.504 0.228
0.479 0.008 0.728
0.479 0.992 0.228
0.533 0.250 0.997
0.533 0.750 0.497
0.956 0.250 0.503
0.956 0.750 0.003

[6]
SrLaTiMnO6 PBEsol optimized geometry; energy above the most stable polymorph in this dataset = 0.010 eV per atom; E_form (uncorrected) = -2.896 eV per atom
1.0
5.496 0.000 0.000
2.703 4.819 0.000
2.634 1.554 8.927
Sr La Ti Mn O
2 2 2 2 12
Direct
0.000 0.000 0.000
0.482 0.519 0.506
0.221 0.278 0.261
0.738 0.762 0.749
0.369 0.373 0.882
0.856 0.902 0.376
0.112 0.138 0.629
0.614 0.637 0.127
0.020 0.541 0.492
0.040 0.415 0.022
0.186 0.729 0.762
0.199 0.864 0.246
0.293 0.198 0.753
0.471 0.528 0.005
0.474 0.979 0.507
0.574 0.968 0.982
0.650 0.298 0.266
0.749 0.313 0.750
0.770 0.739 0.248
0.938 0.064 0.507

[7]
Sr3LaMn2W2O12 PBEsol optimized geometry; E_form (uncorrected) = -2.506 eV per atom
1.0
5.611 0.000 0.000
-0.017 5.668 0.000
-0.008 -0.019 7.950
Sr La Mn W O
3 1 2 2 12
Direct
0.000 0.000 0.000
0.014 0.070 0.502
0.502 0.564 0.501
0.512 0.490 0.002
0.007 0.534 0.749
0.506 0.028 0.253
0.008 0.535 0.251
0.504 0.032 0.749
0.086 0.547 0.009
0.204 0.814 0.284
0.227 0.833 0.720
0.284 0.333 0.279
0.306 0.312 0.719
0.441 0.057 0.992
0.574 0.017 0.512
0.701 0.754 0.794
0.727 0.734 0.207
0.775 0.244 0.788
0.797 0.267 0.208
0.943 0.521 0.489

[8]
La2TiMnO6 PBEsol optimized geometry; E_form (uncorrected) = -3.002 eV per atom
1.0
5.546 0.000 0.000
0.000 5.679 0.000
-5.536 0.000 7.874
La Ti Mn O
4 2 2 12
Direct
0.241 0.047 0.251
0.241 0.453 0.751
0.759 0.547 0.249
0.759 0.953 0.749
0.000 0.000 0.500
0.000 0.500 0.000
0.500 0.000 0.000
0.500 0.500 0.500
0.145 0.216 0.950
0.145 0.284 0.450
0.239 0.696 0.954
0.239 0.804 0.454
0.331 0.028 0.741
0.331 0.472 0.241
0.669 0.528 0.759
0.669 0.972 0.259
0.761 0.196 0.546
0.761 0.304 0.046
0.855 0.716 0.550
0.855 0.784 0.050

[9]
La2MnVO6 PBEsol optimized geometry; E_form (uncorrected) = -2.798 eV per atom
1.0
5.449 0.000 0.000
0.000 5.411 0.000
-5.435 0.000 7.659
La Mn V O
4 2 2 12
Direct
0.246 0.021 0.250
0.246 0.479 0.750
0.754 0.521 0.250
0.754 0.979 0.750
0.000 0.000 0.500
0.000 0.500 0.000
0.500 0.000 0.000
0.500 0.500 0.500
0.191 0.230 0.968
0.191 0.270 0.468
0.238 0.724 0.968
0.238 0.776 0.468
0.309 0.004 0.747
0.309 0.496 0.247
0.691 0.504 0.753
0.691 0.996 0.253
0.762 0.224 0.532
0.762 0.276 0.032
0.809 0.730 0.532
0.809 0.770 0.032

[10]
LaMn4P PBEsol optimized geometry; ΔH_f (0 K) = 0.409 eV/atom
1.0
0.000 3.504 3.504
3.504 0.000 3.504
3.504 3.504 0.000
La Mn P
1 4 1
Direct
0.000 0.000 0.000
0.131 0.623 0.623
0.623 0.131 0.623
0.623 0.623 0.131
0.623 0.623 0.623
0.250 0.250 0.250

[11]
LaMnP2 PBEsol optimized geometry; ΔH_f (0 K) = -0.441 eV/atom
1.0
3.097 0.000 0.000
0.000 3.097 0.000
0.000 0.000 6.675
La Mn P
1 1 2
Direct
0.000 0.000 0.000
0.000 0.000 0.500
0.500 0.500 0.320
0.500 0.500 0.680

[12]
La2MnP PBEsol optimized geometry; ΔH_f (0 K) = -0.353 eV/atom
1.0
3.716 0.000 0.000
0.000 3.716 0.000
0.000 0.000 6.918
La Mn P
2 1 1
Direct
0.000 0.000 0.229
0.000 0.000 0.771
0.500 0.500 0.500
0.500 0.500 0.000

[13]
LaMnPb2 PBEsol optimized geometry; energy above the most stable polymorph in this dataset = 0.000 eV per atom; ΔH_f (0 K) = 0.017 eV/atom
1.0
-2.271 2.271 5.052
2.271 -2.271 5.052
2.271 2.271 -5.052
La Mn Pb
1 1 2
Direct
0.000 0.000 0.000
0.750 0.250 0.500
0.250 0.750 0.500
0.500 0.500 0.000

[14]
La3MnPb PBEsol optimized geometry; ΔH_f (0 K) = -0.232 eV/atom
1.0
5.164 0.000 0.000
0.000 5.164 0.000
0.000 0.000 5.164
La Mn Pb
3 1 1
Direct
0.000 0.000 0.500
0.000 0.500 0.000
0.500 0.000 0.000
0.000 0.000 0.000
0.500 0.500 0.500

[15]
LaMnPb2 PBEsol optimized geometry; energy above the most stable polymorph in this dataset = 0.053 eV per atom; ΔH_f (0 K) = 0.070 eV/atom
1.0
0.000 3.719 3.719
3.719 0.000 3.719
3.719 3.719 0.000
La Mn Pb
1 1 2
Direct
0.000 0.000 0.000
0.500 0.500 0.500
0.250 0.250 0.250
0.750 0.750 0.750

[16]
La2MnPb PBEsol optimized geometry; ΔH_f (0 K) = -0.017 eV/atom
1.0
3.597 0.000 0.000
0.000 3.598 0.000
-0.020 0.000 8.409
La Mn Pb
2 1 1
Direct
0.001 0.000 0.280
0.999 0.000 0.720
0.500 0.500 0.500
0.500 0.500 0.000

[17]
LaMnPb2 PBEsol optimized geometry; energy above the most stable polymorph in this dataset = 0.044 eV per atom; ΔH_f (0 K) = 0.062 eV/atom
1.0
-1.690 2.887 5.174
1.690 -2.887 5.174
1.690 2.887 -5.174
La Mn Pb
1 1 2
Direct
0.000 0.000 0.000
0.500 0.500 0.000
0.284 0.784 0.500
0.716 0.216 0.500

[18]
LaMn2SnPd PBEsol optimized geometry; ΔH_f (0 K) = 1.299 eV/atom
1.0
4.740 0.000 0.000
0.000 4.740 0.000
0.000 0.000 5.048
La Mn Sn Pd
1 2 1 1
Direct
0.000 0.000 0.000
0.000 0.500 0.000
0.500 0.000 0.000
0.500 0.500 0.500
0.000 0.000 0.500

[19]
LaMnPt2 PBEsol optimized geometry; ΔH_f (0 K) = -0.628 eV/atom
1.0
2.182 1.260 4.901
-2.182 1.260 4.901
0.000 -2.520 4.901
La Mn Pt
1 1 2
Direct
0.000 0.000 0.000
0.500 0.500 0.500
0.209 0.209 0.209
0.791 0.791 0.791

[20]
LaMn2Pt PBEsol optimized geometry; ΔH_f (0 K) = 0.091 eV/atom
1.0
0.000 3.230 3.230
3.230 0.000 3.230
3.230 3.230 0.000
La Mn Pt
1 2 1
Direct
0.000 0.000 0.000
0.250 0.250 0.250
0.750 0.750 0.750
0.500 0.500 0.500